DFT (GGA-PBE) results for UZn11 after structural relaxation.

a b c (Å): 10.524 10.524 6.883
angles (deg): 90.00 90.00 90.00
Space group I4_1/amd (No. 141, origin choice 2)
One atom of each set of equivalent atoms:
U (0.000, 0.250, 0.375) [4 per cell]
Zn (0.000, 0.000, 0.000) [8 per cell]
Zn (0.000, 0.250, 0.875) [4 per cell]
Zn (0.121, 0.045, 0.674) [32 per cell]

Calculated values
The raw total energy comes out at -25.71 eV/f.u. The value obtained for the density of states at the Fermi level is 41.72 states/eV per cell. For the formation energy, the calculation gives -39 kJ/mol of formula units. As for the volume: 762.41 Å³/cell.

***

DFT (GGA-PBE) results for UZn2 after structural relaxation.

a b c (Å): 2.732 2.732 13.681
angles (deg): 90.00 90.00 90.00
Space group I4/mmm (No. 139)
One atom of each set of equivalent atoms:
U (0.000, 0.000, 0.000) [2 per cell]
Zn (0.000, 0.000, 0.321) [4 per cell]

Calculated values
The raw total energy comes out at -13.77 eV/f.u. The value obtained for the density of states at the Fermi level is 6.26 states/eV per cell. For the formation energy, the calculation gives 7 kJ/mol of formula units. As for the volume: 102.11 Å³/cell.

***

DFT (GGA-PBE) results for U3Zn after structural relaxation.

a b c (Å): 2.993 5.178 5.186
angles (deg): 90.00 90.00 90.00
Space group Pmm2 (No. 25)
One atom of each set of equivalent atoms:
U (0.000, 0.000, 0.000) [1 per cell]
U (0.000, 0.500, 0.484) [1 per cell]
U (0.500, 0.000, 0.505) [1 per cell]
Zn (0.500, 0.500, 0.980) [1 per cell]

Calculated values
The raw total energy comes out at -34.57 eV/f.u. The value obtained for the density of states at the Fermi level is 10.23 states/eV per cell. For the formation energy, the calculation gives 54 kJ/mol of formula units. As for the volume: 80.38 Å³/cell.